(1)
DFT (SCAN) results for a PBEsol-optimized structure of Mg2In2Pb.

Output
SG = P4/mbm, No. 127
E_tot = -30.59 eV/atom
Mass density = 6.6 g cm⁻³
Calculated formation energy = -91 meV per atom
Total moment = 0.00 μB per cell

Lattice parameters (Å, degrees): 8.5883 8.5883 3.3254 90.00 90.00 90.00
Sites, in units of the cell vectors:
1 Mg 0.1724 0.3276 0.0000
2 Mg 0.3276 0.8276 0.0000
3 Mg 0.6724 0.1724 0.0000
4 Mg 0.8276 0.6724 0.0000
5 In 0.1266 0.6266 0.5000
6 In 0.3734 0.1266 0.5000
7 In 0.6266 0.8734 0.5000
8 In 0.8734 0.3734 0.5000
9 Pb 0.0000 0.0000 0.5000
10 Pb 0.5000 0.5000 0.5000


(2)
DFT (SCAN) results for a PBEsol-optimized structure of BiRhO3.

Output
SG = Pnma, No. 62
E_tot = -27.26 eV/atom
Mass density = 10.0 g cm⁻³
Formation energy without anion corrections = -507 kJ/mol of formula units
Total moment = 0.00 μB per cell

Lattice parameters (Å, degrees): 5.8557 7.6864 5.3127 90.00 90.00 90.00
Sites, in units of the cell vectors:
1 Bi 0.0704 0.2500 0.0204
2 Bi 0.4296 0.7500 0.5204
3 Bi 0.5704 0.2500 0.4796
4 Bi 0.9296 0.7500 0.9796
5 Rh 0.0000 0.0000 0.5000
6 Rh 0.0000 0.5000 0.5000
7 Rh 0.5000 0.0000 0.0000
8 Rh 0.5000 0.5000 0.0000
9 O 0.0427 0.7500 0.3831
10 O 0.1873 0.5406 0.8280
11 O 0.1873 0.9594 0.8280
12 O 0.3127 0.0406 0.3280
13 O 0.3127 0.4594 0.3280
14 O 0.4573 0.2500 0.8831
15 O 0.5427 0.7500 0.1169
16 O 0.6873 0.5406 0.6720
17 O 0.6873 0.9594 0.6720
18 O 0.8127 0.0406 0.1720
19 O 0.8127 0.4594 0.1720
20 O 0.9573 0.2500 0.6169


(3)
DFT (SCAN) results for a PBEsol-optimized structure of Ca2TlFe.

Output
SG = Amm2, No. 38
E_tot = -27.45 eV/atom
Mass density = 5.3 g cm⁻³
Calculated formation energy = 1 meV per atom
Total moment = 2.48 μB per cell

Lattice parameters (Å, degrees): 4.5168 6.0505 6.0505 39.79 90.00 90.00
Sites, in units of the cell vectors:
1 Ca 0.0000 0.0000 0.0000
2 Ca 0.5000 0.2965 0.2965
3 Tl 0.5000 0.5860 0.5860
4 Fe 0.0000 0.7070 0.7070


(4)
DFT (SCAN) results for a PBEsol-optimized structure of As2HSe2.

Output
SG = I4/mmm, No. 139
E_tot = -16.11 eV/atom
Mass density = 4.1 g cm⁻³
Total moment = 1.00 μB per cell

Lattice parameters (Å, degrees): 6.2422 6.2422 6.2422 133.75 133.75 67.48
Sites, in units of the cell vectors:
1 As 0.2500 0.7500 0.5000
2 As 0.7500 0.2500 0.5000
3 H 0.0000 0.0000 0.0000
4 Se 0.3357 0.3357 0.0000
5 Se 0.6643 0.6643 0.0000


(5)
DFT (SCAN) results for a PBEsol-optimized structure of Cu2ClO.

Output
SG = I-42d, No. 122
E_tot = -11.72 eV/atom
Mass density = 5.1 g cm⁻³
Formation energy without anion corrections = -221 kJ/mol of formula units
Total moment = 2.03 μB per cell

Lattice parameters (Å, degrees): 6.1341 6.1341 6.1341 134.60 134.60 66.15
Sites, in units of the cell vectors:
1 Cu 0.0213 0.6250 0.8963
2 Cu 0.3750 0.2713 0.3963
3 Cu 0.7287 0.1250 0.1037
4 Cu 0.8750 0.9787 0.6037
5 Cl 0.2500 0.7500 0.5000
6 Cl 0.5000 0.5000 0.0000
7 O 0.0000 0.0000 0.0000
8 O 0.7500 0.2500 0.5000


(6)
DFT (SCAN) results for a PBEsol-optimized structure of MnCoNi2.

Output
SG = Cmmm, No. 65
E_tot = -17.11 eV/atom
Mass density = 9.0 g cm⁻³
Calculated formation energy = -135 meV per atom
Total moment = 6.55 μB per cell

Lattice parameters (Å, degrees): 4.3001 4.3001 2.4647 90.00 90.00 110.09
Sites, in units of the cell vectors:
1 Mn 0.0000 0.0000 0.0000
2 Co 0.5000 0.5000 0.0000
3 Ni 0.0000 0.5000 0.5000
4 Ni 0.5000 0.0000 0.5000


(7)
DFT (SCAN) results for a PBEsol-optimized structure of SrLi3Te.

Output
SG = Pm-3m, No. 221
E_tot = -12.62 eV/atom
Mass density = 2.3 g cm⁻³
Formation energy without anion corrections = 346 kJ/mol of formula units
Total moment = 0.00 μB per cell

Lattice parameters (Å, degrees): 5.5398 5.5398 5.5398 90.00 90.00 90.00
Sites, in units of the cell vectors:
1 Sr 0.0000 0.0000 0.0000
2 Li 0.0000 0.0000 0.5000
3 Li 0.0000 0.5000 0.0000
4 Li 0.5000 0.0000 0.0000
5 Te 0.5000 0.5000 0.5000


(8)
DFT (SCAN) results for a PBEsol-optimized structure of MgTi2GaBr.

Output
SG = P4/mmm, No. 123
E_tot = -13.82 eV/atom
Mass density = 3.6 g cm⁻³
Formation energy without anion corrections = 361 kJ/mol of formula units
Total moment = 0.01 μB per cell

Lattice parameters (Å, degrees): 4.8014 4.8014 5.3818 90.00 90.00 90.00
Sites, in units of the cell vectors:
1 Mg 0.0000 0.0000 0.0000
2 Ti 0.0000 0.5000 0.5000
3 Ti 0.5000 0.0000 0.5000
4 Ga 0.5000 0.5000 0.5000
5 Br 0.5000 0.5000 0.0000


(9)
DFT (SCAN) results for a PBEsol-optimized structure of ScSi2Rh.

Output
SG = Amm2, No. 38
E_tot = -17.66 eV/atom
Mass density = 5.6 g cm⁻³
Formation energy without anion corrections = -251 kJ/mol of formula units
Total moment = 0.00 μB per cell

Lattice parameters (Å, degrees): 3.6645 4.8609 4.8609 44.23 90.00 90.00
Sites, in units of the cell vectors:
1 Sc 0.0000 0.0000 0.0000
2 Si 0.0000 0.7223 0.7223
3 Si 0.5000 0.5527 0.5527
4 Rh 0.5000 0.2717 0.2717


(10)
DFT (SCAN) results for a PBEsol-optimized structure of Y5Hg4.

Output
SG = P6_3/mcm, No. 193
E_tot = -46.43 eV/atom
Mass density = 9.0 g cm⁻³
Calculated formation energy = -671 meV per atom
Total moment = 0.00 μB per cell

Lattice parameters (Å, degrees): 8.9960 8.9960 6.5802 90.00 90.00 120.00
Sites, in units of the cell vectors:
1 Y 0.0000 0.2866 0.2500
2 Y 0.0000 0.7134 0.7500
3 Y 0.2866 0.0000 0.2500
4 Y 0.2866 0.2866 0.7500
5 Y 0.3333 0.6667 0.0000
6 Y 0.3333 0.6667 0.5000
7 Y 0.6667 0.3333 0.0000
8 Y 0.6667 0.3333 0.5000
9 Y 0.7134 0.0000 0.7500
10 Y 0.7134 0.7134 0.2500
11 Hg 0.0000 0.0000 0.0000
12 Hg 0.0000 0.0000 0.5000
13 Hg 0.0000 0.3814 0.7500
14 Hg 0.0000 0.6186 0.2500
15 Hg 0.3814 0.0000 0.7500
16 Hg 0.3814 0.3814 0.2500
17 Hg 0.6186 0.0000 0.2500
18 Hg 0.6186 0.6186 0.7500


(11)
DFT (SCAN) results for a PBEsol-optimized structure of LaReSb2.

Output
SG = P4/mmm, No. 123
E_tot = -46.95 eV/atom
Mass density = 10.5 g cm⁻³
Energy relative to the lowest polymorph listed for this composition = 236.7 meV per atom
Formation energy without anion corrections = 89 kJ/mol of formula units
Total moment = 0.86 μB per cell

Lattice parameters (Å, degrees): 4.5840 4.5840 4.2911 90.00 90.00 90.00
Sites, in units of the cell vectors:
1 La 0.0000 0.0000 0.0000
2 Re 0.5000 0.5000 0.0000
3 Sb 0.0000 0.5000 0.5000
4 Sb 0.5000 0.0000 0.5000


(12)
DFT (SCAN) results for a PBEsol-optimized structure of CaYBeTe2.

Output
SG = P4/mmm, No. 123
E_tot = -22.48 eV/atom
Mass density = 3.6 g cm⁻³
Formation energy without anion corrections = 385 kJ/mol of formula units
Total moment = 0.00 μB per cell

Lattice parameters (Å, degrees): 5.5877 5.5877 5.8889 90.00 90.00 90.00
Sites, in units of the cell vectors:
1 Ca 0.0000 0.0000 0.0000
2 Y 0.0000 0.0000 0.5000
3 Be 0.5000 0.5000 0.5000
4 Te 0.0000 0.5000 0.0000
5 Te 0.5000 0.0000 0.0000